Record 1
{"formula": "Li2MgZrGa2Ni2", "functional": "PBE-GGA", "state": "optimized geometry", "volume_a3_per_atom": 14.18, "e_tot_ev_per_atom": -4.27, "lattice_angstrom": [[4.302, 0.000, 0.000], [0.000, 4.302, 0.000], [0.000, 0.000, 6.131]], "species": ["Ga", "Ga", "Ni", "Ni", "Mg", "Li", "Li", "Zr"], "frac_coords": [[0.000, 0.000, 0.000], [0.500, 0.500, 0.500], [0.500, 0.000, 0.756], [0.000, 0.500, 0.244], [0.000, 0.000, 0.500], [0.000, 0.500, 0.730], [0.500, 0.000, 0.270], [0.500, 0.500, 0.000]]}

=====

Record 2
{"formula": "Hf3Nb2Ge4", "functional": "PBE-GGA", "state": "optimized geometry", "volume_a3_per_atom": 17.95, "e_tot_ev_per_atom": -8.27, "lattice_angstrom": [[-4.577, 4.947, 1.504], [-6.239, -8.306, 8.335], [4.104, 2.197, 5.261]], "species": ["Nb", "Nb", "Nb", "Nb", "Nb", "Nb", "Nb", "Nb", "Hf", "Hf", "Hf", "Hf", "Hf", "Hf", "Hf", "Hf", "Hf", "Hf", "Hf", "Hf", "Ge", "Ge", "Ge", "Ge", "Ge", "Ge", "Ge", "Ge", "Ge", "Ge", "Ge", "Ge", "Ge", "Ge", "Ge", "Ge"], "frac_coords": [[0.342, 0.377, 0.671], [0.842, 0.377, 0.829], [0.658, 0.877, 0.329], [0.842, 0.123, 0.829], [0.158, 0.877, 0.171], [0.658, 0.623, 0.329], [0.158, 0.623, 0.171], [0.342, 0.123, 0.671], [0.487, 0.593, 0.826], [0.487, 0.907, 0.826], [0.670, 0.250, 0.506], [0.513, 0.407, 0.174], [0.013, 0.093, 0.326], [0.987, 0.907, 0.674], [0.513, 0.093, 0.174], [0.330, 0.750, 0.494], [0.170, 0.250, 0.994], [0.987, 0.593, 0.674], [0.013, 0.407, 0.326], [0.830, 0.750, 0.006], [0.955, 0.750, 0.385], [0.808, 0.250, 0.145], [0.817, 0.538, 0.035], [0.455, 0.750, 0.115], [0.192, 0.750, 0.855], [0.183, 0.462, 0.965], [0.045, 0.250, 0.615], [0.183, 0.038, 0.965], [0.683, 0.038, 0.535], [0.317, 0.538, 0.465], [0.817, 0.962, 0.035], [0.545, 0.250, 0.885], [0.692, 0.750, 0.645], [0.683, 0.462, 0.535], [0.308, 0.250, 0.355], [0.317, 0.962, 0.465]]}

=====

Record 3
{"formula": "PaZnAu", "functional": "PBE-GGA", "state": "optimized geometry", "volume_a3_per_atom": 22.40, "e_tot_ev_per_atom": -4.66, "formation_enthalpy_0k_mev_per_atom": 18, "lattice_angstrom": [[0.273, -0.702, 4.501], [-3.324, 1.492, 2.748], [-2.803, -2.983, 2.019]], "species": ["Pa", "Zn", "Au"], "frac_coords": [[0.750, 0.750, 0.750], [0.000, 0.000, 0.000], [0.250, 0.250, 0.250]]}

=====

Record 4
{"formula": "Al2Cu2SeS3", "functional": "PBE-GGA", "state": "optimized geometry", "volume_a3_per_atom": 19.38, "e_tot_ev_per_atom": -4.61, "lattice_angstrom": [[5.389, 0.000, 0.000], [0.000, 5.399, 0.000], [-2.656, -2.699, 5.330]], "species": ["S", "S", "S", "Al", "Al", "Cu", "Cu", "Se"], "frac_coords": [[0.301, 0.416, 0.827], [0.059, 0.671, 0.327], [0.817, 0.917, 0.828], [0.173, 0.782, 0.072], [0.944, 0.038, 0.583], [0.690, 0.300, 0.065], [0.428, 0.562, 0.590], [0.559, 0.168, 0.327]]}

=====

Record 5
{"formula": "PrGd2Sn3PdPt2", "functional": "PBE-GGA", "state": "optimized geometry", "volume_a3_per_atom": 22.69, "e_tot_ev_per_atom": -5.85, "lattice_angstrom": [[4.083, 0.000, 0.000], [0.000, 6.596, 3.791], [0.000, -6.596, 3.791]], "species": ["Gd", "Gd", "Sn", "Sn", "Sn", "Pr", "Pd", "Pt", "Pt"], "frac_coords": [[0.000, 0.410, 0.000], [0.000, 0.000, 0.410], [0.500, 0.746, 0.002], [0.500, 0.253, 0.253], [0.500, 0.002, 0.746], [0.000, 0.588, 0.588], [0.000, 0.004, 0.004], [0.500, 0.328, 0.669], [0.500, 0.669, 0.328]]}

=====

Record 6
{"formula": "HoEr2Mg3CdIn2", "functional": "PBE-GGA", "state": "optimized geometry", "volume_a3_per_atom": 24.92, "e_tot_ev_per_atom": -3.10, "lattice_angstrom": [[4.576, 0.000, 0.000], [0.000, 6.516, 3.760], [0.000, -6.516, 3.760]], "species": ["Er", "Er", "Mg", "Mg", "Mg", "In", "In", "Ho", "Cd"], "frac_coords": [[0.000, 0.000, 0.574], [0.000, 0.574, 0.000], [0.500, 0.000, 0.241], [0.500, 0.759, 0.759], [0.500, 0.241, 0.000], [0.500, 0.667, 0.333], [0.500, 0.333, 0.667], [0.000, 0.426, 0.426], [0.000, 0.000, 0.000]]}